Ba2V3O9 | the Alexandria database | PBE with a Hubbard U | optimized geometry; energy above the most stable polymorph in this dataset = 0.00 eV/f.u.; magnetic moment = 1.00 μB/f.u.
1.0
8.669 0.000 0.000
0.000 5.920 0.000
-3.997 0.000 8.656
Ba V O
4 6 18
direct
0.193 0.000 0.231
0.213 0.540 0.593
0.787 0.040 0.407
0.807 0.500 0.769
0.090 0.041 0.804
0.487 0.297 0.995
0.500 0.032 0.688
0.500 0.532 0.312
0.513 0.797 0.005
0.910 0.541 0.196
0.001 0.590 0.072
0.013 0.796 0.701
0.021 0.258 0.671
0.297 0.027 0.549
0.324 0.032 0.913
0.352 0.532 0.923
0.360 0.550 0.394
0.462 0.283 0.197
0.469 0.779 0.196
0.531 0.279 0.804
0.538 0.783 0.803
0.640 0.050 0.606
0.648 0.032 0.077
0.676 0.532 0.087
0.703 0.527 0.451
0.979 0.758 0.329
0.987 0.296 0.299
0.999 0.090 0.928